Tm2Ga4CoNi3 PBE-GGA relaxed; formation energy from the elements = -0.532 eV/atom; total energy = -5.08 eV per atom
1.0
3.964 0.000 0.000
0.000 3.964 0.000
0.000 0.000 10.186
Ni Ga Tm Co
3 4 2 1
Direct
0.000 0.500 0.139
0.500 0.000 0.861
0.000 0.000 0.500
0.500 0.000 0.629
0.000 0.000 0.000
0.500 0.500 0.000
0.000 0.500 0.371
0.500 0.000 0.253
0.000 0.500 0.747
0.500 0.500 0.500